This record from the Alexandria database describes La2Dy3Hg2 after structural relaxation. The functional is PBE.

The magnetization comes out at 0.00 μB per atom. The total energy is -3.694 eV per atom. The calculation puts the energy of formation at -0.2274 eV/atom. The value obtained for the relative energy among the computed polymorphs is 0 meV per atom. For the volume, the calculation gives 30.11 Å³/atom.

The structure belongs to space group Cmmm (No. 65); the cell edges are 3.695, 31.302 and 3.644 Å and the angles 90.00°, 90.00° and 90.00°. The inequivalent atoms are La at (0.000, 0.205, 0.000), Dy at (0.000, 0.077, 0.000), Dy at (0.000, 0.500, 0.500) and Hg at (0.000, 0.365, 0.500).